# 1
! PBE BePd2Rh, relaxed; values from VASP
! - space group = I-42d
! - electronic total energy (eV/atom) = -5.141
! - total magnetization (Bohr magnetons per cell) = 0.00
! - crystal system = tetragonal
&SYSTEM
  ibrav = 0, nat = 16, ntyp = 3
/
ATOMIC_SPECIES
Be 9.01 Be.upf
Pd 106.42 Pd.upf
Rh 102.91 Rh.upf
CELL_PARAMETERS angstrom
3.628 0.000 0.000
0.000 3.628 0.000
0.000 0.000 17.907
ATOMIC_POSITIONS angstrom
Be 0.000 0.000 0.000
Be 0.000 1.814 4.477
Be 1.814 0.000 13.431
Be 1.814 1.814 8.954
Pd 0.887 0.907 2.238
Pd 0.907 2.700 6.715
Pd 0.907 2.741 15.669
Pd 0.927 0.907 11.192
Pd 2.700 2.721 11.192
Pd 2.721 0.887 15.669
Pd 2.721 0.927 6.715
Pd 2.741 2.721 2.238
Rh 0.000 0.000 8.954
Rh 0.000 1.814 13.431
Rh 1.814 0.000 4.477
Rh 1.814 1.814 0.000


# 2
! PBE Be2PdRh2, relaxed; values from VASP
! - space group = P4/mbm
! - total magnetization (Bohr magnetons per cell) = 0.00
! - ΔE to the lowest computed polymorph (eV/atom) = 0.244
! - crystal system = tetragonal
&SYSTEM
  ibrav = 0, nat = 10, ntyp = 3
/
ATOMIC_SPECIES
Be 9.01 Be.upf
Pd 106.42 Pd.upf
Rh 102.91 Rh.upf
CELL_PARAMETERS angstrom
6.760 0.000 0.000
0.000 6.760 0.000
0.000 0.000 2.721
ATOMIC_POSITIONS angstrom
Be 1.091 2.289 0.000
Be 2.289 5.670 0.000
Be 4.471 1.091 0.000
Be 5.670 4.471 0.000
Pd 0.000 0.000 1.360
Pd 3.380 3.380 1.360
Rh 0.924 4.304 1.360
Rh 2.456 0.924 1.360
Rh 4.304 5.836 1.360
Rh 5.836 2.456 1.360


# 3
! PBE Be4Pd3Rh, relaxed; values from VASP
! - space group = P4/mmm
! - electronic total energy (eV/atom) = -5.367
! - total magnetization (Bohr magnetons per cell) = 0.00
! - crystal system = tetragonal
&SYSTEM
  ibrav = 0, nat = 8, ntyp = 3
/
ATOMIC_SPECIES
Be 9.01 Be.upf
Pd 106.42 Pd.upf
Rh 102.91 Rh.upf
CELL_PARAMETERS angstrom
2.820 0.000 0.000
0.000 2.820 0.000
0.000 0.000 11.243
ATOMIC_POSITIONS angstrom
Be 0.000 0.000 1.263
Be 0.000 0.000 4.169
Be 0.000 0.000 7.074
Be 0.000 0.000 9.980
Pd 1.410 1.410 2.805
Pd 1.410 1.410 5.622
Pd 1.410 1.410 8.438
Rh 1.410 1.410 0.000


# 4
! PBE Be2Pd2Rh, relaxed; values from VASP
! - space group = P4/mbm
! - total magnetization (Bohr magnetons per cell) = 0.00
! - ΔE to the lowest computed polymorph (eV/atom) = 0.070
! - crystal system = tetragonal
&SYSTEM
  ibrav = 0, nat = 10, ntyp = 3
/
ATOMIC_SPECIES
Be 9.01 Be.upf
Pd 106.42 Pd.upf
Rh 102.91 Rh.upf
CELL_PARAMETERS angstrom
6.508 0.000 0.000
0.000 6.508 0.000
0.000 0.000 2.837
ATOMIC_POSITIONS angstrom
Be 0.900 2.354 0.000
Be 2.354 5.608 0.000
Be 4.155 0.900 0.000
Be 5.608 4.155 0.000
Pd 1.034 4.288 1.418
Pd 2.220 1.034 1.418
Pd 4.288 5.475 1.418
Pd 5.475 2.220 1.418
Rh 0.000 0.000 0.000
Rh 3.254 3.254 0.000